Density functional theory data (PBE-GGA) for Cu7Ag3 after structural relaxation.

Geometry as POSCAR:
```
Cu7Ag3
1.0
4.700 0.000 0.000
-1.594 5.221 0.000
-0.536 -1.576 5.569
Cu Ag
7 3
direct
0.382 0.787 0.798
0.024 0.516 0.017
0.209 0.407 0.396
0.599 0.695 0.183
0.202 0.896 0.396
0.379 0.302 0.796
0.009 0.997 0.014
0.599 0.195 0.181
0.800 0.603 0.608
0.797 0.101 0.612
```

Values from the calculation:
ΔE to the lowest computed polymorph = 0.045 eV per atom
E = -3.36 eV per atom
theoretical density = 9.338 g/cm3
DFT formation energy = 89 meV/atom

Density functional theory data (PBE-GGA) for HfAlSi2 after structural relaxation.

Geometry as POSCAR:
```
HfAlSi2
1.0
0.000 3.243 3.243
3.243 0.000 3.243
3.243 3.243 0.000
Si Al Hf
2 1 1
direct
0.750 0.750 0.750
0.000 0.000 0.000
0.500 0.500 0.500
0.250 0.250 0.250
```

Values from the calculation:
E = -5.85 eV per atom
theoretical density = 6.368 g/cm3

Density functional theory data (PBE-GGA) for NaAcLu after structural relaxation.

Geometry as POSCAR:
```
NaAcLu
1.0
-4.732 1.574 2.824
-2.882 4.681 -1.622
-5.133 -0.516 -2.497
Na Ac Lu
1 1 1
direct
0.750 0.750 0.750
0.000 0.000 0.000
0.250 0.250 0.250
```

Values from the calculation:
ΔE to the lowest computed polymorph = 0.236 eV per atom
E = -2.36 eV per atom
theoretical density = 5.301 g/cm3

Density functional theory data (PBE-GGA) for CuHgPd after structural relaxation.

Geometry as POSCAR:
```
CuHgPd
1.0
0.000 3.014 3.014
3.014 0.000 3.014
3.014 3.014 0.000
Hg Pd Cu
1 1 1
direct
0.250 0.250 0.250
0.750 0.750 0.750
0.000 0.000 0.000
```

Values from the calculation:
E = -2.97 eV per atom
theoretical density = 11.237 g/cm3
DFT formation energy = 98 meV/atom

Density functional theory data (PBE-GGA) for SrTlCd after structural relaxation.

Geometry as POSCAR:
```
SrTlCd
1.0
0.000 3.733 3.733
3.733 0.000 3.733
3.733 3.733 0.000
Cd Sr Tl
1 1 1
direct
0.250 0.250 0.250
0.750 0.750 0.750
0.000 0.000 0.000
```

Values from the calculation:
E = -1.83 eV per atom
theoretical density = 6.457 g/cm3

Density functional theory data (PBE-GGA) for Ba2CdOsO6 after structural relaxation.

Geometry as POSCAR:
```
Ba2CdOsO6
1.0
-4.093 -3.947 -1.581
-5.493 0.437 2.114
-4.418 1.599 -3.572
O Ba Os Cd
6 2 1 1
direct
0.768 0.232 0.232
0.232 0.768 0.232
0.232 0.232 0.768
0.768 0.768 0.232
0.768 0.232 0.768
0.232 0.768 0.768
0.250 0.250 0.250
0.750 0.750 0.750
0.000 0.000 0.000
0.500 0.500 0.500
```

Values from the calculation:
E = -6.37 eV per atom
theoretical density = 7.691 g/cm3